DFT (PBE) results for a geometry-optimized KBeCo2N structure.

Values from the calculation:
Its total magnetic moment is 2.035 μB/f.u. The density is 4.94 g/cm³. The space-group type is No. 123. The calculation puts the energy relative to the elements, uncorrected at 748 meV per atom. The value obtained for the energy is -4.724 eV per atom. Its density of states at the Fermi level is 0.97 states/eV per atom.

Unit cell a=4.153 b=3.508 c=4.153 alpha=90.00 beta=90.00 gamma=90.00
Last column: magnetic moment on the atom in μB.
Fractional coordinates of all 5 atoms:
N 0.000 0.000 0.000  0.06
Be 0.000 0.500 0.000  -0.05
Co 0.000 0.000 0.500  0.89
Co 0.500 0.000 0.000  1.43
K 0.500 0.500 0.500  -0.06